First-principles (PBE) data for NaAlCdHg2 after structural relaxation, as listed in the Alexandria database.

Results
ρ (g/cm³): 6.34
Total magnetic moment (μB/atom): 0.000
SG: P4/mmm (123)
ΔE_f (eV/atom): 0.0460

Geometry as CIF:
```
data_NaAlCdHg2
_cell_length_a 5.272
_cell_length_b 5.272
_cell_length_c 5.309
_cell_angle_alpha 90.00
_cell_angle_beta 90.00
_cell_angle_gamma 90.00
_space_group_name_H-M_alt 'P 1'
_space_group_IT_number 1
_space_group_name_Hall 'P 1'
loop_
_atom_site_label
_atom_site_type_symbol
_atom_site_fract_x
_atom_site_fract_y
_atom_site_fract_z
Na1 Na 0.500 0.500 0.500
Al1 Al 0.000 0.000 0.000
Hg1 Hg 0.000 0.500 0.000
Hg2 Hg 0.500 0.000 0.000
Cd1 Cd 0.000 0.000 0.500
```

First-principles (PBE) data for Nd4AlCd2Hg after structural relaxation, as listed in the Alexandria database.

Results
ρ (g/cm³): 7.66
Total magnetic moment (μB/atom): 0.000
SG: R-3m (166)
ΔE_f (eV/atom): -0.3571

Geometry as CIF:
```
data_Nd4AlCd2Hg
_cell_length_a 5.394
_cell_length_b 5.394
_cell_length_c 9.392
_cell_angle_alpha 73.31
_cell_angle_beta 73.31
_cell_angle_gamma 60.00
_space_group_name_H-M_alt 'P 1'
_space_group_IT_number 1
_space_group_name_Hall 'P 1'
loop_
_atom_site_label
_atom_site_type_symbol
_atom_site_fract_x
_atom_site_fract_y
_atom_site_fract_z
Nd1 Nd 0.377 0.377 0.869
Nd2 Nd 0.873 0.873 0.380
Nd3 Nd 0.127 0.127 0.620
Nd4 Nd 0.623 0.623 0.131
Al1 Al 0.500 0.500 0.500
Cd1 Cd 0.751 0.751 0.748
Cd2 Cd 0.249 0.249 0.252
Hg1 Hg 0.000 0.000 0.000
```